LiPu5Se8 | GGA-PBE | relaxed

Its energy relative to the elements, uncorrected is -33.01 kcal/mol of atoms. The spin magnetization comes out at 14.91 μB/f.u.

It has space group I-4 (No. 82), with a = 8.664 Å, b = 8.664 Å, c = 8.783 Å, α = 90.00°, β = 90.00° and γ = 90.00°. The asymmetric unit holds Li at (0.000, 0.000, 0.000), Pu at (0.000, 0.500, 0.250), Pu at (0.127, 0.252, 0.629), Se at (0.073, 0.321, 0.953) and Se at (0.078, 0.177, 0.309).